[1]
# SCAN MnAsIr3, single point on PBEsol structure
data_MnAsIr3
_space_group_name_H-M_alt 'P m -3 m'
_space_group_IT_number 221
_space_group_name_Hall '-P 4 2 3'
_cell_length_a 4.497
_cell_length_b 4.497
_cell_length_c 4.497
_cell_angle_alpha 90.00
_cell_angle_beta 90.00
_cell_angle_gamma 90.00
loop_
_atom_site_label
_atom_site_type_symbol
_atom_site_fract_x
_atom_site_fract_y
_atom_site_fract_z
Mn1 Mn 0.000 0.000 0.000
As1 As 0.500 0.500 0.500
Ir1 Ir 0.000 0.500 0.500
# DOS(E_F) ... 1.987 states/eV per cell
# Total magnetic moment ... 5.19 μB per formula unit
# Energy relative to the elements ... 0.86 eV per atom

=====

[2]
# SCAN Dy3InS6, single point on PBEsol structure
data_Dy3InS6
_space_group_name_H-M_alt 'P n n m'
_space_group_IT_number 58
_space_group_name_Hall '-P 2 2n'
_cell_length_a 13.268
_cell_length_b 16.306
_cell_length_c 3.795
_cell_angle_alpha 90.00
_cell_angle_beta 90.00
_cell_angle_gamma 90.00
loop_
_atom_site_label
_atom_site_type_symbol
_atom_site_fract_x
_atom_site_fract_y
_atom_site_fract_z
Dy1 Dy 0.040 0.225 0.000
Dy2 Dy 0.189 0.646 0.000
Dy3 Dy 0.250 0.393 0.000
In1 In 0.000 0.000 0.500
In2 In 0.000 0.500 0.500
S1 S 0.022 0.394 0.000
S2 S 0.096 0.912 0.000
S3 S 0.112 0.118 0.500
S4 S 0.113 0.747 0.500
S5 S 0.182 0.286 0.500
S6 S 0.194 0.521 0.500
# Formation energy (no corrections) ... -19.4 eV/f.u.
# Total magnetic moment ... 0.00 μB per formula unit

=====

[3]
# SCAN RbYBr2O, single point on PBEsol structure
data_RbYBr2O
_space_group_name_H-M_alt 'P 4/m m m'
_space_group_IT_number 123
_space_group_name_Hall '-P 4 2'
_cell_length_a 5.762
_cell_length_b 5.762
_cell_length_c 6.275
_cell_angle_alpha 90.00
_cell_angle_beta 90.00
_cell_angle_gamma 90.00
loop_
_atom_site_label
_atom_site_type_symbol
_atom_site_fract_x
_atom_site_fract_y
_atom_site_fract_z
Rb1 Rb 0.000 0.000 0.000
Y1 Y 0.000 0.000 0.500
Br1 Br 0.000 0.500 0.000
O1 O 0.500 0.500 0.500
# DOS(E_F) ... 1.476 states/eV per cell
# Formation energy (no corrections) ... 1.9 eV/f.u.
# Total magnetic moment ... 0.00 μB per formula unit

=====

[4]
# SCAN Li2YNi, single point on PBEsol structure
data_Li2YNi
_space_group_name_H-M_alt 'C 1 2/m 1'
_space_group_IT_number 12
_space_group_name_Hall '-C 2y'
_cell_length_a 10.442
_cell_length_b 3.551
_cell_length_c 4.058
_cell_angle_alpha 90.00
_cell_angle_beta 112.70
_cell_angle_gamma 90.00
loop_
_atom_site_label
_atom_site_type_symbol
_atom_site_fract_x
_atom_site_fract_y
_atom_site_fract_z
Li1 Li 0.233 0.000 0.233
Y1 Y 0.000 0.000 0.500
Ni1 Ni 0.000 0.500 0.000
# DOS(E_F) ... 2.419 states/eV per cell
# Polymorph energy (0 for the lowest one) ... 0 meV per atom
# Total magnetic moment ... 0.00 μB per formula unit
# Energy relative to the elements ... -0.05 eV per atom